--- a ---
ScPIrCl2: relaxed, PBE.

Computed properties:
As for the crystal system: tetragonal. The space group is No. 123. As for the mass density: 4.64 g cm⁻³.

Unit cell a=4.6649 b=4.6649 c=5.5706 alpha=90.00 beta=90.00 gamma=90.00
Fractional positions:
1 Sc 0.0000 0.0000 0.0000
2 P 0.0000 0.0000 0.5000
3 Ir 0.5000 0.5000 0.5000
4 Cl 0.0000 0.5000 0.0000
5 Cl 0.5000 0.0000 0.0000



--- b ---
ScPIrCl2: relaxed, PBE.

Computed properties:
As for the crystal system: tetragonal. The space group is No. 123. As for the mass density: 5.25 g cm⁻³.

Unit cell a=4.7913 b=4.7913 c=4.6707 alpha=90.00 beta=90.00 gamma=90.00
Fractional positions:
1 Sc 0.0000 0.0000 0.0000
2 P 0.5000 0.5000 0.0000
3 Ir 0.5000 0.5000 0.5000
4 Cl 0.0000 0.5000 0.5000
5 Cl 0.5000 0.0000 0.5000



The structure with the most favorable energy is b; the runner-up is 210 meV/atom above it.



--- a ---
SiP2IrCl: relaxed, PBE.

Computed properties:
As for the crystal system: tetragonal. The space group is No. 123. As for the mass density: 6.07 g cm⁻³.

Unit cell a=4.5129 b=4.5129 c=4.2642 alpha=90.00 beta=90.00 gamma=90.00
Fractional positions:
1 Si 0.0000 0.0000 0.0000
2 P 0.0000 0.5000 0.0000
3 P 0.5000 0.0000 0.0000
4 Ir 0.5000 0.5000 0.5000
5 Cl 0.0000 0.0000 0.5000



--- b ---
SiP2IrCl: relaxed, PBE.

Computed properties:
As for the crystal system: tetragonal. The space group is No. 123. As for the mass density: 4.96 g cm⁻³.

Unit cell a=4.5241 b=4.5241 c=5.2014 alpha=90.00 beta=90.00 gamma=90.00
Fractional positions:
1 Si 0.0000 0.0000 0.0000
2 P 0.0000 0.5000 0.5000
3 P 0.5000 0.0000 0.5000
4 Ir 0.5000 0.5000 0.5000
5 Cl 0.5000 0.5000 0.0000



The structure with the most favorable energy is b; the runner-up is 286 meV/atom above it.



--- a ---
SiPIrCl2: relaxed, PBE.

Computed properties:
As for the crystal system: tetragonal. The space group is No. 123. As for the mass density: 5.57 g cm⁻³.

Unit cell a=4.3777 b=4.3777 c=5.0086 alpha=90.00 beta=90.00 gamma=90.00
Fractional positions:
1 Si 0.0000 0.0000 0.0000
2 P 0.0000 0.0000 0.5000
3 Ir 0.5000 0.5000 0.5000
4 Cl 0.0000 0.5000 0.0000
5 Cl 0.5000 0.0000 0.0000



--- b ---
SiPIrCl2: relaxed, PBE.

Computed properties:
As for the crystal system: tetragonal. The space group is No. 123. As for the mass density: 4.93 g cm⁻³.

Unit cell a=4.8865 b=4.8865 c=4.5493 alpha=90.00 beta=90.00 gamma=90.00
Fractional positions:
1 Si 0.0000 0.0000 0.0000
2 P 0.5000 0.5000 0.0000
3 Ir 0.5000 0.5000 0.5000
4 Cl 0.0000 0.5000 0.5000
5 Cl 0.5000 0.0000 0.5000



The structure with the most favorable energy is b; the runner-up is 336 meV/atom above it.



--- a ---
SrP2IrCl: relaxed, PBE.

Computed properties:
As for the crystal system: tetragonal. The space group is No. 123. As for the mass density: 4.75 g cm⁻³.

Unit cell a=4.4614 b=4.4614 c=6.6225 alpha=90.00 beta=90.00 gamma=90.00
Fractional positions:
1 Sr 0.0000 0.0000 0.0000
2 P 0.0000 0.5000 0.5000
3 P 0.5000 0.0000 0.5000
4 Ir 0.5000 0.5000 0.5000
5 Cl 0.5000 0.5000 0.0000



--- b ---
SrP2IrCl: relaxed, PBE.

Computed properties:
As for the crystal system: tetragonal. The space group is No. 123. As for the mass density: 3.56 g cm⁻³.

Unit cell a=5.7735 b=5.7735 c=5.2793 alpha=90.00 beta=90.00 gamma=90.00
Fractional positions:
1 Sr 0.0000 0.0000 0.0000
2 P 0.0000 0.5000 0.0000
3 P 0.5000 0.0000 0.0000
4 Ir 0.5000 0.5000 0.5000
5 Cl 0.0000 0.0000 0.5000



The structure with the most favorable energy is a; the runner-up is 1991 meV/atom above it.



--- a ---
SrPIrCl2: relaxed, PBE.

Computed properties:
As for the crystal system: tetragonal. The space group is No. 123. As for the mass density: 3.56 g cm⁻³.

Unit cell a=5.2769 b=5.2769 c=6.3861 alpha=90.00 beta=90.00 gamma=90.00
Fractional positions:
1 Sr 0.0000 0.0000 0.0000
2 P 0.0000 0.0000 0.5000
3 Ir 0.5000 0.5000 0.5000
4 Cl 0.0000 0.5000 0.0000
5 Cl 0.5000 0.0000 0.0000



--- b ---
SrPIrCl2: relaxed, PBE.

Computed properties:
As for the crystal system: tetragonal. The space group is No. 123. As for the mass density: 5.32 g cm⁻³.

Unit cell a=5.1457 b=5.1457 c=4.4976 alpha=90.00 beta=90.00 gamma=90.00
Fractional positions:
1 Sr 0.0000 0.0000 0.0000
2 P 0.5000 0.5000 0.0000
3 Ir 0.5000 0.5000 0.5000
4 Cl 0.0000 0.5000 0.5000
5 Cl 0.5000 0.0000 0.5000



The structure with the most favorable energy is b; the runner-up is 1360 meV/atom above it.



--- a ---
TaPIrCl2: relaxed, PBE.

Computed properties:
As for the crystal system: tetragonal. The space group is No. 123. As for the mass density: 7.65 g cm⁻³.

Unit cell a=4.6695 b=4.6695 c=4.7316 alpha=90.00 beta=90.00 gamma=90.00
Fractional positions:
1 Ta 0.0000 0.0000 0.0000
2 P 0.5000 0.5000 0.0000
3 Ir 0.5000 0.5000 0.5000
4 Cl 0.0000 0.5000 0.5000
5 Cl 0.5000 0.0000 0.5000



--- b ---
TaPIrCl2: relaxed, PBE.

Computed properties:
As for the crystal system: tetragonal. The space group is No. 123. As for the mass density: 7.18 g cm⁻³.

Unit cell a=4.6477 b=4.6477 c=5.0890 alpha=90.00 beta=90.00 gamma=90.00
Fractional positions:
1 Ta 0.0000 0.0000 0.0000
2 P 0.0000 0.0000 0.5000
3 Ir 0.5000 0.5000 0.5000
4 Cl 0.0000 0.5000 0.0000
5 Cl 0.5000 0.0000 0.0000



The structure with the most favorable energy is b; the runner-up is 237 meV/atom above it.